A geometry-optimized LaCd structure, computed with PBE.

Its volume is 1046.5 Å³ per cell. Its formation energy is -164.1 meV/atom. The crystal system is orthorhombic. As for the space-group type: No. 70. For the density of states at the Fermi level, the calculation gives 37.5 states/eV/cell.

Geometry as POSCAR:
```
LaCd
1.0
8.393 0.000 0.000
0.000 9.969 0.000
0.000 0.000 12.507
La Cd
16 16
direct
0.000 0.810 0.000
0.000 0.190 0.000
0.250 0.940 0.250
0.250 0.560 0.250
0.000 0.310 0.500
0.000 0.690 0.500
0.250 0.440 0.750
0.250 0.060 0.750
0.500 0.810 0.500
0.500 0.190 0.500
0.750 0.940 0.750
0.750 0.560 0.750
0.500 0.310 0.000
0.500 0.690 0.000
0.750 0.440 0.250
0.750 0.060 0.250
0.331 0.000 0.000
0.669 0.000 0.000
0.919 0.750 0.250
0.581 0.750 0.250
0.331 0.500 0.500
0.669 0.500 0.500
0.919 0.250 0.750
0.581 0.250 0.750
0.831 0.000 0.500
0.169 0.000 0.500
0.419 0.750 0.750
0.081 0.750 0.750
0.831 0.500 0.000
0.169 0.500 0.000
0.419 0.250 0.250
0.081 0.250 0.250
```